(1)
First-principles (GGA-PBE) data for a relaxed structure of InAg2Ir, as listed in OQMD via LeMat-Bulk.

```
data_InAg2Ir
_chemical_formula_sum 'In4 Ag8 Ir4'
_space_group_name_H-M_alt 'F -4 3 m'
_space_group_IT_number 216
_space_group_name_Hall 'F -4 2 3'
_cell_length_a 6.5235
_cell_length_b 6.5235
_cell_length_c 6.5235
_cell_angle_alpha 90.00
_cell_angle_beta 90.00
_cell_angle_gamma 90.00
loop_
_atom_site_label
_atom_site_type_symbol
_atom_site_fract_x
_atom_site_fract_y
_atom_site_fract_z
In1 In 0.0000 0.0000 0.0000
Ag1 Ag 0.0000 0.0000 0.5000
Ag2 Ag 0.2500 0.2500 0.7500
Ir1 Ir 0.2500 0.2500 0.2500
```


(2)
First-principles (GGA-PBE) data for a relaxed structure of CsBeFeRe, as listed in OQMD via LeMat-Bulk.

Polymorph energy (0 for the lowest one) ... 0.00 eV per formula unit

```
data_CsBeFeRe
_chemical_formula_sum 'Cs4 Be4 Fe4 Re4'
_space_group_name_H-M_alt 'F -4 3 m'
_space_group_IT_number 216
_space_group_name_Hall 'F -4 2 3'
_cell_length_a 6.6101
_cell_length_b 6.6101
_cell_length_c 6.6101
_cell_angle_alpha 90.00
_cell_angle_beta 90.00
_cell_angle_gamma 90.00
loop_
_atom_site_label
_atom_site_type_symbol
_atom_site_fract_x
_atom_site_fract_y
_atom_site_fract_z
Cs1 Cs 0.0000 0.0000 0.0000
Be1 Be 0.2500 0.2500 0.7500
Fe1 Fe 0.2500 0.2500 0.2500
Re1 Re 0.0000 0.0000 0.5000
```


| no. | raw total energy (eV per atom) | density (g/cm3) |
| --- | --- | --- |
| 1 | -4.20 | 12.51 |
| 2 | -4.35 | 8.83 |